Record 1
Material: Zr5Cd
Method: DFT, GGA-PBE
State: relaxed

a = 8.257 Å, b = 8.257 Å, c = 8.257 Å
α = 90.00°, β = 90.00°, γ = 90.00°
Space group F-43m (No. 216)
Symmetry-distinct sites (fractional):
Zr  0.000  0.000  0.000 (multiplicity 4)
Zr  0.127  0.127  0.373 (multiplicity 16)
Cd  0.250  0.250  0.750 (multiplicity 4)

Properties
Total magnetization in Bohr magnetons per cell: 0.0
Crystal system: cubic
DFT formation energy in meV per atom: 239

=====

Record 2
Material: ZrCd
Method: DFT, GGA-PBE
State: relaxed

a = 4.331 Å, b = 4.331 Å, c = 9.317 Å
α = 90.00°, β = 90.00°, γ = 90.00°
Space group I4_1/amd (No. 141, origin choice 2)
Symmetry-distinct sites (fractional):
Zr  0.000  0.250  0.375 (multiplicity 4)
Cd  0.000  0.250  0.875 (multiplicity 4)

Properties
Total magnetization in Bohr magnetons per cell: 0.0
Crystal system: tetragonal
DFT formation energy in meV per atom: -2

=====

Record 3
Material: Zr3Cd
Method: DFT, GGA-PBE
State: relaxed

a = 10.699 Å, b = 3.190 Å, c = 5.432 Å
α = 90.00°, β = 102.60°, γ = 90.00°
Space group C2/m (No. 12)
Symmetry-distinct sites (fractional):
Zr  0.000  0.000  0.000 (multiplicity 2)
Zr  0.243  0.000  0.745 (multiplicity 4)
Cd  0.000  0.500  0.500 (multiplicity 2)

Properties
Total magnetization in Bohr magnetons per cell: 0.0
Crystal system: monoclinic
DFT formation energy in meV per atom: 4

=====

Record 4
Material: Zr2Cd
Method: DFT, GGA-PBE
State: relaxed

a = 4.717 Å, b = 4.717 Å, c = 3.464 Å
α = 90.00°, β = 90.00°, γ = 90.00°
Space group P4/mmm (No. 123)
Symmetry-distinct sites (fractional):
Zr  0.000  0.500  0.000 (multiplicity 2)
Cd  0.000  0.000  0.500 (multiplicity 1)

Properties
Total magnetization in Bohr magnetons per cell: 0.0
Crystal system: tetragonal
DFT formation energy in meV per atom: 520

=====

Record 5
Material: ZrCd
Method: DFT, GGA-PBE
State: relaxed

a = 5.766 Å, b = 5.021 Å, c = 6.072 Å
α = 90.00°, β = 90.00°, γ = 90.00°
Space group Pnma (No. 62)
Symmetry-distinct sites (fractional):
Zr  0.128  0.250  0.132 (multiplicity 4)
Cd  0.092  0.250  0.630 (multiplicity 4)

Properties
Total magnetization in Bohr magnetons per cell: 0.0
Crystal system: orthorhombic
DFT formation energy in meV per atom: -26

=====

Record 6
Material: ZrCd5
Method: DFT, GGA-PBE
State: relaxed

a = 12.016 Å, b = 2.957 Å, c = 8.549 Å
α = 90.00°, β = 117.67°, γ = 90.00°
Space group Cm (No. 8)
Symmetry-distinct sites (fractional):
Zr  0.000  0.000  0.000 (multiplicity 2)
Cd  0.216  0.500  0.322 (multiplicity 2)
Cd  0.216  0.500  0.954 (multiplicity 2)
Cd  0.280  0.000  0.676 (multiplicity 2)
Cd  0.450  0.000  0.285 (multiplicity 2)
Cd  0.496  0.500  0.624 (multiplicity 2)

Properties
Total magnetization in Bohr magnetons per cell: 0.0
Crystal system: monoclinic
DFT formation energy in meV per atom: -12

=====

Record 7
Material: Zr4Cd
Method: DFT, GGA-PBE
State: relaxed

a = 7.220 Å, b = 7.220 Å, c = 4.349 Å
α = 90.00°, β = 90.00°, γ = 90.00°
Space group I4/m (No. 87)
Symmetry-distinct sites (fractional):
Zr  0.112  0.309  0.000 (multiplicity 8)
Cd  0.000  0.000  0.500 (multiplicity 2)

Properties
Total magnetization in Bohr magnetons per cell: 0.0
Crystal system: tetragonal
DFT formation energy in meV per atom: -38

=====

Record 8
Material: Zr5Cd
Method: DFT, GGA-PBE
State: relaxed

a = 4.488 Å, b = 13.621 Å, c = 4.453 Å
α = 90.00°, β = 90.00°, γ = 90.00°
Space group Cmmm (No. 65)
Symmetry-distinct sites (fractional):
Zr  0.000  0.000  0.000 (multiplicity 2)
Zr  0.000  0.167  0.500 (multiplicity 4)
Zr  0.000  0.335  0.000 (multiplicity 4)
Cd  0.000  0.500  0.500 (multiplicity 2)

Properties
Total magnetization in Bohr magnetons per cell: 0.0
Crystal system: orthorhombic
DFT formation energy in meV per atom: -33

=====

Record 9
Material: ZrCd2
Method: DFT, GGA-PBE
State: relaxed

a = 6.929 Å, b = 6.929 Å, c = 6.929 Å
α = 90.00°, β = 90.00°, γ = 90.00°
Space group Pa-3 (No. 205)
Symmetry-distinct sites (fractional):
Zr  0.000  0.000  0.000 (multiplicity 4)
Cd  0.119  0.619  0.881 (multiplicity 8)

Properties
Total magnetization in Bohr magnetons per cell: 0.0
Crystal system: cubic
DFT formation energy in meV per atom: 709

=====

Record 10
Material: Zr5Cd
Method: DFT, GGA-PBE
State: relaxed

a = 5.5138 Å, b = 5.5138 Å, c = 5.2229 Å
α = 90.00°, β = 90.00°, γ = 120.00°
Space group P-62m (No. 189)
Symmetry-distinct sites (fractional):
Zr  0.0000  0.6750  0.0000 (multiplicity 3)
Zr  0.3333  0.6667  0.5000 (multiplicity 2)
Cd  0.0000  0.0000  0.5000 (multiplicity 1)

Properties
Total magnetization in Bohr magnetons per cell: 0.0
Crystal system: hexagonal
DFT formation energy in meV per atom: 0

=====

Record 11
Material: ZrCd
Method: DFT, GGA-PBE
State: relaxed

a = 3.234 Å, b = 11.771 Å, c = 7.936 Å
α = 90.00°, β = 90.00°, γ = 90.00°
Space group Amm2 (No. 38)
Symmetry-distinct sites (fractional):
Zr  0.000  0.000  0.000 (multiplicity 2)
Zr  0.500  0.121  0.284 (multiplicity 4)
Cd  0.000  0.224  0.569 (multiplicity 4)
Cd  0.500  0.000  0.645 (multiplicity 2)

Properties
Total magnetization in Bohr magnetons per cell: 0.0
Crystal system: orthorhombic
DFT formation energy in meV per atom: 205

=====

Record 12
Material: Zr2Cd
Method: DFT, GGA-PBE
State: relaxed

a = 5.1831 Å, b = 5.1831 Å, c = 2.8975 Å
α = 90.00°, β = 90.00°, γ = 120.00°
Space group P-3m1 (No. 164)
Symmetry-distinct sites (fractional):
Zr  0.3333  0.6667  0.2988 (multiplicity 2)
Cd  0.0000  0.0000  0.0000 (multiplicity 1)

Properties
Total magnetization in Bohr magnetons per cell: 1.5
Crystal system: trigonal
DFT formation energy in meV per atom: 103

=====

Record 13
Material: ZrCd3
Method: DFT, GGA-PBE
State: relaxed

a = 3.1033 Å, b = 3.1033 Å, c = 32.0086 Å
α = 90.00°, β = 90.00°, γ = 120.00°
Space group R-3m (No. 166, hexagonal axes)
Symmetry-distinct sites (fractional):
Zr  0.0000  0.0000  0.0000 (multiplicity 3)
Cd  0.0000  0.0000  0.2511 (multiplicity 6)
Cd  0.0000  0.0000  0.5000 (multiplicity 3)

Properties
Total magnetization in Bohr magnetons per cell: 0.0
Crystal system: trigonal
DFT formation energy in meV per atom: 6

=====

Record 14
Material: ZrCd
Method: DFT, GGA-PBE
State: relaxed

a = 4.4086 Å, b = 4.4086 Å, c = 5.9199 Å
α = 90.00°, β = 90.00°, γ = 120.00°
Space group P6_3/mmc (No. 194)
Symmetry-distinct sites (fractional):
Zr  0.3333  0.6667  0.2500 (multiplicity 2)
Cd  0.0000  0.0000  0.0000 (multiplicity 2)

Properties
Total magnetization in Bohr magnetons per cell: 0.0
Crystal system: hexagonal
DFT formation energy in meV per atom: 444

=====

Record 15
Material: ZrCd5
Method: DFT, GGA-PBE
State: relaxed

a = 5.007 Å, b = 3.175 Å, c = 16.728 Å
α = 90.00°, β = 90.00°, γ = 90.00°
Space group Amm2 (No. 38)
Symmetry-distinct sites (fractional):
Zr  0.000  0.000  0.000 (multiplicity 2)
Cd  0.000  0.000  0.336 (multiplicity 2)
Cd  0.000  0.000  0.665 (multiplicity 2)
Cd  0.500  0.000  0.224 (multiplicity 2)
Cd  0.500  0.000  0.558 (multiplicity 2)
Cd  0.500  0.000  0.891 (multiplicity 2)

Properties
Total magnetization in Bohr magnetons per cell: 0.0
Crystal system: orthorhombic
DFT formation energy in meV per atom: 2

=====

Record 16
Material: Zr3Cd5
Method: DFT, GGA-PBE
State: relaxed

a = 8.6953 Å, b = 8.6953 Å, c = 5.6643 Å
α = 90.00°, β = 90.00°, γ = 120.00°
Space group P6_3/mcm (No. 193)
Symmetry-distinct sites (fractional):
Zr  0.0000  0.4191  0.2500 (multiplicity 6)
Cd  0.0000  0.2196  0.7500 (multiplicity 6)
Cd  0.3333  0.6667  0.0000 (multiplicity 4)

Properties
Total magnetization in Bohr magnetons per cell: 0.0
Crystal system: hexagonal
DFT formation energy in meV per atom: 140

=====

Record 17
Material: ZrCd
Method: DFT, GGA-PBE
State: relaxed

a = 5.0212 Å, b = 5.0212 Å, c = 8.6537 Å
α = 90.00°, β = 90.00°, γ = 120.00°
Space group P6_3/mmc (No. 194)
Symmetry-distinct sites (fractional):
Zr  0.0000  0.0000  0.2500 (multiplicity 2)
Zr  0.3333  0.6667  0.2500 (multiplicity 2)
Cd  0.3333  0.6667  0.5870 (multiplicity 4)

Properties
Total magnetization in Bohr magnetons per cell: 0.0
Crystal system: hexagonal
DFT formation energy in meV per atom: 391

=====

Record 18
Material: ZrCd3
Method: DFT, GGA-PBE
State: relaxed

a = 10.386 Å, b = 3.034 Å, c = 5.719 Å
α = 90.00°, β = 102.18°, γ = 90.00°
Space group C2/m (No. 12)
Symmetry-distinct sites (fractional):
Zr  0.000  0.000  0.000 (multiplicity 2)
Cd  0.000  0.500  0.500 (multiplicity 2)
Cd  0.246  0.000  0.750 (multiplicity 4)

Properties
Total magnetization in Bohr magnetons per cell: 0.0
Crystal system: monoclinic
DFT formation energy in meV per atom: -2

=====

Record 19
Material: Zr7Cd3
Method: DFT, GGA-PBE
State: relaxed

a = 15.941 Å, b = 4.476 Å, c = 6.278 Å
α = 90.00°, β = 98.78°, γ = 90.00°
Space group C2/m (No. 12)
Symmetry-distinct sites (fractional):
Zr  0.000  0.000  0.000 (multiplicity 2)
Zr  0.099  0.500  0.291 (multiplicity 4)
Zr  0.100  0.500  0.786 (multiplicity 4)
Zr  0.200  0.000  0.582 (multiplicity 4)
Cd  0.000  0.000  0.500 (multiplicity 2)
Cd  0.202  0.000  0.087 (multiplicity 4)

Properties
Total magnetization in Bohr magnetons per cell: 0.0
Crystal system: monoclinic
DFT formation energy in meV per atom: -67

=====

Record 20
Material: Zr3Cd
Method: DFT, GGA-PBE
State: relaxed

a = 3.1963 Å, b = 3.1963 Å, c = 10.3894 Å
α = 90.00°, β = 90.00°, γ = 120.00°
Space group P-6m2 (No. 187)
Symmetry-distinct sites (fractional):
Zr  0.0000  0.0000  0.0000 (multiplicity 1)
Zr  0.3333  0.6667  0.2465 (multiplicity 2)
Cd  0.0000  0.0000  0.5000 (multiplicity 1)

Properties
Total magnetization in Bohr magnetons per cell: 0.0
Crystal system: hexagonal
DFT formation energy in meV per atom: -3

=====

Record 21
Material: ZrCd
Method: DFT, GGA-PBE
State: relaxed

a = 10.089 Å, b = 8.711 Å, c = 6.015 Å
α = 90.00°, β = 90.00°, γ = 90.00°
Space group Pbcm (No. 57)
Symmetry-distinct sites (fractional):
Zr  0.124  0.082  0.250 (multiplicity 4)
Zr  0.374  0.250  0.000 (multiplicity 4)
Zr  0.375  0.585  0.250 (multiplicity 4)
Cd  0.126  0.750  0.000 (multiplicity 4)
Cd  0.127  0.085  0.750 (multiplicity 4)
Cd  0.377  0.580  0.750 (multiplicity 4)

Properties
Total magnetization in Bohr magnetons per cell: 0.0
Crystal system: orthorhombic
DFT formation energy in meV per atom: -38

=====

Record 22
Material: Zr2Cd
Method: DFT, GGA-PBE
State: relaxed

a = 4.345 Å, b = 13.946 Å, c = 4.417 Å
α = 90.00°, β = 90.00°, γ = 90.00°
Space group Cmcm (No. 63)
Symmetry-distinct sites (fractional):
Zr  0.000  0.082  0.250 (multiplicity 4)
Zr  0.000  0.243  0.750 (multiplicity 4)
Cd  0.000  0.417  0.250 (multiplicity 4)

Properties
Total magnetization in Bohr magnetons per cell: 0.0
Crystal system: orthorhombic
DFT formation energy in meV per atom: -60

=====

Record 23
Material: Ce2Cl5
Method: DFT, GGA-PBE
State: relaxed

a = 15.252 Å, b = 6.399 Å, c = 7.719 Å
α = 90.00°, β = 97.49°, γ = 90.00°
Space group C2/c (No. 15)
Symmetry-distinct sites (fractional):
Ce  0.108  0.214  0.085 (multiplicity 8)
Cl  0.000  0.093  0.750 (multiplicity 4)
Cl  0.085  0.372  0.426 (multiplicity 8)
Cl  0.220  0.078  0.828 (multiplicity 8)

Properties
Total magnetization in Bohr magnetons per cell: 12.0
Crystal system: monoclinic
Uncorrected energy in eV per formula unit: -35.9

=====

Record 24
Material: CeCl
Method: DFT, GGA-PBE
State: relaxed

a = 4.371 Å, b = 4.370 Å, c = 6.228 Å
α = 90.00°, β = 92.85°, γ = 90.00°
Space group P2_1/m (No. 11)
Symmetry-distinct sites (fractional):
Ce  0.227  0.250  0.497 (multiplicity 2)
Cl  0.256  0.750  0.181 (multiplicity 2)

Properties
Total magnetization in Bohr magnetons per cell: 1.6
Crystal system: monoclinic
Uncorrected energy in eV per formula unit: -9.8

=====

Record 25
Material: CeCl
Method: DFT, GGA-PBE
State: relaxed

a = 5.660 Å, b = 5.660 Å, c = 5.660 Å
α = 90.00°, β = 90.00°, γ = 90.00°
Space group Fm-3m (No. 225)
Symmetry-distinct sites (fractional):
Ce  0.000  0.000  0.000 (multiplicity 4)
Cl  0.000  0.000  0.500 (multiplicity 4)

Properties
Total magnetization in Bohr magnetons per cell: 3.0
Crystal system: cubic
Uncorrected energy in eV per formula unit: -10.5

=====

Record 26
Material: Ce3Cl
Method: DFT, GGA-PBE
State: relaxed

a = 4.457 Å, b = 4.457 Å, c = 4.457 Å
α = 90.00°, β = 90.00°, γ = 90.00°
Space group Pm-3m (No. 221)
Symmetry-distinct sites (fractional):
Ce  0.000  0.000  0.500 (multiplicity 3)
Cl  0.500  0.500  0.500 (multiplicity 1)

Properties
Total magnetization in Bohr magnetons per cell: 0.0
Crystal system: cubic
Uncorrected energy in eV per formula unit: -20.6